# Zr3PtC

Zr3PtC at its PBEsol-relaxed geometry (meta-GGA SCAN, Alexandria).

Computed properties:
* ΔH_f (0 K): 1.21 eV/atom
* space-group type: Pm-3m, No. 221

a b c (Å): 4.9856 4.9856 4.9856
angles (deg): 90.00 90.00 90.00
Closest atoms and distances in Å follow each position.
Element x y z (fractional)
C 0.5000 0.5000 0.5000  12 Zr 3.53
Zr 0.0000 0.0000 0.5000  2 Pt 2.49
Zr 0.0000 0.5000 0.0000  2 Pt 2.49
Zr 0.5000 0.0000 0.0000  2 Pt 2.49
Pt 0.0000 0.0000 0.0000  6 Zr 2.49

# ZrWIN2

ZrWIN2 at its PBEsol-relaxed geometry (meta-GGA SCAN, Alexandria).

Computed properties:
* space-group type: P4/mmm, No. 123
* uncorrected formation energy: 1259 meV per atom

a b c (Å): 4.1372 4.1372 5.8122
angles (deg): 90.00 90.00 90.00
Closest atoms and distances in Å follow each position.
Element x y z (fractional)
I 0.0000 0.0000 0.5000  2 Zr 2.91, 4 W 2.93
W 0.5000 0.5000 0.5000  4 I 2.93
Zr 0.0000 0.0000 0.0000  4 N 2.07
N 0.5000 0.0000 0.0000  2 Zr 2.07
N 0.0000 0.5000 0.0000  2 Zr 2.07

# Y2WAu

Y2WAu at its PBEsol-relaxed geometry (meta-GGA SCAN, Alexandria).

Computed properties:
* ΔH_f (0 K): 0.45 eV/atom
* space-group type: R3m, No. 160
* ΔE to the lowest computed polymorph: 5.06 kcal/mol of atoms

a b c (Å): 3.2075 3.2075 10.0934
angles (deg): 80.86 80.86 60.00
Closest atoms and distances in Å follow each position.
Element x y z (fractional)
Au 0.5074 0.5074 0.4778  3 W 2.77, 3 Y 3.02
Y 0.9885 0.9885 0.0345  3 W 2.98, 6 Y 3.21
Y 0.7607 0.7607 0.7178  3 Au 3.02, 6 Y 3.21
W 0.2434 0.2434 0.2698  3 Au 2.77, 3 Y 2.98

# Ag6Ge2O7

Ag6Ge2O7 at its PBEsol-relaxed geometry (meta-GGA SCAN, Alexandria).

Computed properties:
* space-group type: P2_1, No. 4
* uncorrected formation energy: -796 meV per atom

a b c (Å): 5.3941 10.0579 15.7385
angles (deg): 90.00 90.51 90.00
Closest atoms and distances in Å follow each position.
Element x y z (fractional)
O 0.8881 0.1374 0.1588  2 Ge 1.80-1.81
O 0.4473 0.8585 0.8744  1 Ge 1.80
O 0.8495 0.8792 0.0824  1 Ge 1.78
O 0.5163 0.6825 0.7302  1 Ge 1.77
O 0.9127 0.3656 0.2677  1 Ge 1.75
O 0.4359 0.0623 0.0692  1 Ge 1.76
O 0.1505 0.3792 0.9176  1 Ge 1.78
O 0.4643 0.2333 0.6876  1 Ge 1.79
O 0.9163 0.1721 0.7866  1 Ge 1.75
O 0.1119 0.6374 0.8412  2 Ge 1.80-1.81
O 0.4837 0.1825 0.2698  1 Ge 1.77
O 0.8969 0.1066 0.9761  1 Ge 1.75
O 0.4522 0.0719 0.5356  1 Ge 1.78
O 0.0722 0.6745 0.3957  2 Ge 1.78-1.80
O 0.0837 0.6721 0.2134  1 Ge 1.75
O 0.9278 0.1745 0.6043  2 Ge 1.78-1.80
O 0.8768 0.4195 0.6927  1 Ge 1.78
O 0.1159 0.6328 0.5728  1 Ge 1.75
O 0.5641 0.5623 0.9308  1 Ge 1.76
O 0.5527 0.3585 0.1256  1 Ge 1.80
O 0.5478 0.5719 0.4644  1 Ge 1.78
O 0.5357 0.7333 0.3124  1 Ge 1.79
O 0.8885 0.9083 0.5441  1 Ge 1.77
O 0.8841 0.1328 0.4272  1 Ge 1.75
O 0.1115 0.4083 0.4559  1 Ge 1.77
O 0.0873 0.8656 0.7323  1 Ge 1.75
O 0.1232 0.9195 0.3073  1 Ge 1.78
O 0.1031 0.6066 0.0239  1 Ge 1.75
Ge 0.2199 0.5720 0.4753  4 O 1.75-1.80
Ge 0.2923 0.7667 0.7915  4 O 1.75-1.81
Ge 0.2386 0.5484 0.9305  4 O 1.75-1.80
Ge 0.7077 0.2667 0.2085  4 O 1.75-1.81
Ge 0.7801 0.0720 0.5247  4 O 1.75-1.80
Ge 0.7935 0.2483 0.6956  4 O 1.75-1.79
Ge 0.7614 0.0484 0.0695  4 O 1.75-1.80
Ge 0.2065 0.7483 0.3044  4 O 1.75-1.79
Ag 0.6807 0.7906 0.1905  2 O 2.13-2.16
Ag 0.6812 0.7419 0.9948  2 O 2.15-2.16
Ag 0.7194 0.9994 0.3194  3 O 2.33-2.37
Ag 0.3188 0.2419 0.0052  2 O 2.15-2.16
Ag 0.2869 0.0091 0.4188  2 O 2.13-2.15
Ag 0.1805 0.9837 0.9291  2 O 2.10-2.11
Ag 0.7113 0.3440 0.4291  3 O 2.29-2.52
Ag 0.8195 0.4837 0.0709  2 O 2.10-2.11
Ag 0.2524 0.7926 0.0877  3 O 2.27-2.50
Ag 0.2955 0.0081 0.1940  3 O 2.18-2.35
Ag 0.7045 0.5081 0.8060  3 O 2.18-2.35
Ag 0.7476 0.2926 0.9123  3 O 2.27-2.50
Ag 0.2806 0.4994 0.6806  3 O 2.33-2.37
Ag 0.3086 0.5099 0.1717  2 O 2.14
Ag 0.7044 0.5381 0.2976  2 O 2.12-2.18
Ag 0.2700 0.3023 0.3510  2 O 2.11-2.15
Ag 0.2887 0.8440 0.5709  3 O 2.29-2.52
Ag 0.2956 0.0381 0.7024  2 O 2.12-2.18
Ag 0.6749 0.7926 0.4481  3 O 2.22-2.34
Ag 0.7131 0.5091 0.5812  2 O 2.13-2.15
Ag 0.3251 0.2926 0.5519  3 O 2.22-2.34
Ag 0.7300 0.8023 0.6490  2 O 2.11-2.15
Ag 0.6914 0.0099 0.8283  2 O 2.14
Ag 0.3193 0.2906 0.8095  2 O 2.13-2.16

# K2SrP

K2SrP at its PBEsol-relaxed geometry (meta-GGA SCAN, Alexandria).

Computed properties:
* ΔH_f (0 K): -0.30 eV/atom
* space-group type: P4/mmm, No. 123

a b c (Å): 4.6978 4.6978 5.6820
angles (deg): 90.00 90.00 90.00
Closest atoms and distances in Å follow each position.
Element x y z (fractional)
K 0.0000 0.5000 0.0000  4 K 3.32, 4 Sr 3.69, 4 P 3.69
K 0.5000 0.0000 0.0000  4 K 3.32, 4 Sr 3.69, 4 P 3.69
P 0.5000 0.5000 0.5000  4 Sr 3.32, 8 K 3.69
Sr 0.0000 0.0000 0.5000  4 P 3.32, 8 K 3.69

# BAs2RhSe

BAs2RhSe at its PBEsol-relaxed geometry (meta-GGA SCAN, Alexandria).

Computed properties:
* space-group type: P4/mmm, No. 123
* uncorrected formation energy: 1257 meV per atom

a b c (Å): 4.5798 4.5798 5.2095
angles (deg): 90.00 90.00 90.00
Closest atoms and distances in Å follow each position.
Element x y z (fractional)
B 0.5000 0.5000 0.5000  4 Se 3.24, 8 As 3.47
Se 0.0000 0.0000 0.5000  2 Rh 2.60
Rh 0.0000 0.0000 0.0000  4 As 2.29
As 0.5000 0.0000 0.0000  2 Rh 2.29
As 0.0000 0.5000 0.0000  2 Rh 2.29

# Zr3V2Ni4

Zr3V2Ni4 at its PBEsol-relaxed geometry (meta-GGA SCAN, Alexandria).

Computed properties:
* ΔH_f (0 K): -0.32 eV/atom
* space-group type: P-1, No. 2

a b c (Å): 4.8655 4.9422 12.2289
angles (deg): 89.41 88.96 61.35
Closest atoms and distances in Å follow each position.
Element x y z (fractional)
Zr 0.3286 0.3267 0.5421  9 Ni 2.80-2.96, 3 V 2.91-2.94, 4 Zr 3.01-3.07
Zr 0.3518 0.3405 0.7878  8 Ni 2.75-2.98, 4 V 2.89-2.98, 4 Zr 3.01-3.04
Zr 0.0147 0.9971 0.8733  7 Ni 2.85-2.98, 5 V 2.91-2.97, 4 Zr 3.04-3.10
Zr 0.9853 0.0029 0.1267  7 Ni 2.85-2.98, 5 V 2.91-2.97, 4 Zr 3.04-3.10
Zr 0.6714 0.6733 0.4579  9 Ni 2.80-2.96, 3 V 2.91-2.94, 4 Zr 3.01-3.07
Zr 0.6482 0.6595 0.2122  8 Ni 2.75-2.98, 4 V 2.89-2.98, 4 Zr 3.01-3.04
Ni 0.6735 0.6728 0.8313  3 V 2.42-2.51, 3 Ni 2.51-2.53
Ni 0.5000 0.0000 0.0000  4 V 2.47-2.50, 2 Ni 2.51
Ni 0.3344 0.8344 0.6632  2 V 2.43-2.44, 4 Ni 2.47-2.53
Ni 0.6656 0.1656 0.3368  2 V 2.43-2.44, 4 Ni 2.47-2.53
Ni 0.0000 0.0000 0.5000  2 V 2.44, 4 Ni 2.47-2.49
Ni 0.1656 0.6651 0.3349  2 V 2.47-2.48, 4 Ni 2.49-2.51, 1 Zr 2.75
Ni 0.8344 0.3349 0.6651  2 V 2.47-2.48, 4 Ni 2.49-2.51, 1 Zr 2.75
Ni 0.3265 0.3272 0.1687  3 V 2.42-2.51, 3 Ni 2.51-2.53
V 0.1635 0.1673 0.3339  6 Ni 2.42-2.48
V 0.8365 0.8327 0.6661  6 Ni 2.42-2.48
V 0.0000 0.5000 0.0000  2 V 2.43, 4 Ni 2.50-2.51
V 0.5000 0.5000 0.0000  2 V 2.43, 4 Ni 2.47-2.51

# Te2HPb

Te2HPb at its PBEsol-relaxed geometry (meta-GGA SCAN, Alexandria).

Computed properties:
* space-group type: R-3m, No. 166
* E_tot: -38.281 eV per atom

a b c (Å): 4.4531 4.4531 7.7948
angles (deg): 73.40 73.40 60.00
Closest atoms and distances in Å follow each position.
Element x y z (fractional)
Te 0.0874 0.0874 0.7379  1 H 1.93
Te 0.9126 0.9126 0.2621  1 H 1.93
H 0.0000 0.0000 0.0000  2 Te 1.93
Pb 0.5000 0.5000 0.5000  6 Te 3.11

Question: What is the formula in the seventh record?
Answer: Zr3V2Ni4